Compound: Co2NiO
Source: Alexandria
Functional: PBE with a Hubbard U
Structure: relaxed

Geometry as POSCAR:
```
Co2NiO
1.0
5.873 0.000 0.000
0.000 5.873 0.000
0.000 0.000 5.587
Co Ni O
8 4 4
direct
0.181 0.250 0.125
0.250 0.681 0.375
0.250 0.819 0.875
0.319 0.250 0.625
0.681 0.750 0.625
0.750 0.181 0.875
0.750 0.319 0.375
0.819 0.750 0.125
0.000 0.000 0.500
0.000 0.500 0.750
0.500 0.000 0.250
0.500 0.500 0.000
0.000 0.000 0.000
0.000 0.500 0.250
0.500 0.000 0.750
0.500 0.500 0.500
```

Properties
**E_tot**: -63.1 eV per cell
**M_tot**: 22.48 μB/cell